La2Er3Tm6Sc: optimized geometry, GGA-PBE.

abc: 6.0882 6.0882 11.6572
angles: 94.99 94.99 119.99
Fractional coordinates of all 12 atoms:
Sc: 0.0000 0.0000 0.0000
Er: 0.5000 0.5000 0.5000
Er: 0.8337 0.1663 0.5000
Er: 0.1663 0.8337 0.5000
La: 0.3334 0.6666 0.0000
La: 0.6666 0.3334 0.0000
Tm: 0.5857 0.9155 0.7468
Tm: 0.9155 0.5857 0.7468
Tm: 0.0845 0.4143 0.2532
Tm: 0.7547 0.7547 0.2534
Tm: 0.4143 0.0845 0.2532
Tm: 0.2453 0.2453 0.7466

## Properties
- Spin magnetization: 0.00 Bohr magnetons per cell
- SG: C2/m (12)
- ΔE_f: 34 meV/atom